[1]
{
  "formula": "Ce2SbO2",
  "functional": "PBEsol",
  "state": "relaxed",
  "lattice": [[3.9338, 0.0000, 0.0000], [0.0000, 3.9338, 0.0000], [-1.9669, -1.9669, 6.2871]],
  "species": ["O", "O", "Ce", "Ce", "Sb"],
  "frac_coords": [[0.7500, 0.2500, 0.5000], [0.2500, 0.7500, 0.5000], [0.3461, 0.3461, 0.6922], [0.6539, 0.6539, 0.3078], [0.0000, 0.0000, 0.0000]],
  "vol_a3_per_cell": 97.3,
  "dos_ef_per_ev_atom": 1.760,
  "e_form_raw_ev_per_atom": -2.642,
  "total_energy_ha_per_atom": -0.30471
}

[2]
{
  "formula": "ZnGaBr2Cl",
  "functional": "PBEsol",
  "state": "relaxed",
  "lattice": [[-1.1808, -3.9302, 2.4503], [4.1105, 0.2760, 2.4234], [-4.5952, 5.8262, 7.1306]],
  "species": ["Cl", "Ga", "Br", "Br", "Zn"],
  "frac_coords": [[0.5000, 0.5000, 0.5000], [0.0000, 0.0000, 0.5000], [0.0000, 0.5000, 0.0000], [0.5000, 0.0000, 0.0000], [0.0000, 0.0000, 0.0000]],
  "vol_a3_per_cell": 235.1,
  "dos_ef_per_ev_atom": 0.155,
  "e_form_raw_ev_per_atom": -0.228,
  "total_energy_ha_per_atom": -0.08678
}

[3]
{
  "formula": "LiScCl",
  "functional": "PBEsol",
  "state": "relaxed",
  "lattice": [[-0.2597, -2.0036, 2.6251], [2.5171, -0.3678, -2.1217], [3.4368, 3.9902, 3.3856]],
  "species": ["Li", "Cl", "Sc"],
  "frac_coords": [[0.6667, 0.3333, 0.7021], [0.0000, 0.0000, 0.0031], [0.3333, 0.6667, 0.2948]],
  "vol_a3_per_cell": 59.5,
  "dos_ef_per_ev_atom": 0.335,
  "e_form_raw_ev_per_atom": -0.868,
  "e_above_lowest_polymorph_mev_per_atom": 0,
  "total_energy_ha_per_atom": -0.16150
}

What is the formula in the third record? LiScCl

Please write out number 3 again, unchanged.
{
  "formula": "LiScCl",
  "functional": "PBEsol",
  "state": "relaxed",
  "lattice": [[-0.2597, -2.0036, 2.6251], [2.5171, -0.3678, -2.1217], [3.4368, 3.9902, 3.3856]],
  "species": ["Li", "Cl", "Sc"],
  "frac_coords": [[0.6667, 0.3333, 0.7021], [0.0000, 0.0000, 0.0031], [0.3333, 0.6667, 0.2948]],
  "vol_a3_per_cell": 59.5,
  "dos_ef_per_ev_atom": 0.335,
  "e_form_raw_ev_per_atom": -0.868,
  "e_above_lowest_polymorph_mev_per_atom": 0,
  "total_energy_ha_per_atom": -0.16150
}